DFT (GGA-PBE) results for a relaxed structure of GdYU. Values from VASP.

Quantum ESPRESSO input file:
```
&SYSTEM
  ibrav = 0, nat = 3, ntyp = 3
/
ATOMIC_SPECIES
U 238.03 U.upf
Y 88.91 Y.upf
Gd 157.25 Gd.upf
ATOMIC_POSITIONS angstrom
U 0.000 0.000 0.000
Y -3.946 -5.486 6.942
Gd -1.315 -1.829 2.314
CELL_PARAMETERS angstrom
0.103 -4.730 2.330
-0.890 -0.406 5.182
-4.475 -2.179 1.744
```

Calculated formation energy: 1.33 eV per atom
Space-group type: F-43m (216)

DFT (GGA-PBE) results for a relaxed structure of Os2Br. Values from VASP.

Quantum ESPRESSO input file:
```
&SYSTEM
  ibrav = 0, nat = 6, ntyp = 2
/
ATOMIC_SPECIES
Br 79.90 Br.upf
Os 190.23 Os.upf
ATOMIC_POSITIONS angstrom
Br 0.000 0.000 9.442
Os 0.000 0.000 7.081
Br 0.000 0.000 4.721
Os 0.000 -2.225 10.228
Os 1.927 1.113 10.228
Os -1.927 1.113 10.228
CELL_PARAMETERS angstrom
3.854 2.225 6.294
-3.854 2.225 6.294
0.000 -4.451 6.294
```

E: -4.299 eV/atom
Space-group type: Fd-3m (227)

DFT (GGA-PBE) results for a relaxed structure of RePb2. Values from VASP.

Quantum ESPRESSO input file:
```
&SYSTEM
  ibrav = 0, nat = 12, ntyp = 2
/
ATOMIC_SPECIES
Pb 207.20 Pb.upf
Re 186.21 Re.upf
ATOMIC_POSITIONS angstrom
Pb 3.172 3.594 7.653
Pb 1.527 4.544 2.551
Pb 0.000 1.900 2.551
Pb -1.527 4.544 2.551
Pb 4.699 0.950 7.653
Re 3.172 1.831 3.611
Re 0.000 3.663 6.593
Re 3.172 1.831 1.491
Pb 0.000 0.000 5.102
Pb 0.000 0.000 0.000
Re 0.000 3.663 8.714
Pb 1.645 0.950 7.653
CELL_PARAMETERS angstrom
6.344 0.000 0.000
-3.172 5.494 0.000
0.000 0.000 10.204
```

E: -5.262 eV/atom
Space-group type: P6_3/mmc (194)

DFT (GGA-PBE) results for a relaxed structure of NaTl3Tc2O6. Values from VASP.

Quantum ESPRESSO input file:
```
&SYSTEM
  ibrav = 0, nat = 12, ntyp = 4
/
ATOMIC_SPECIES
O 16.00 O.upf
Na 22.99 Na.upf
Tc 98.00 Tc.upf
Tl 204.38 Tl.upf
ATOMIC_POSITIONS angstrom
O -1.542 4.495 1.927
Na 0.000 0.000 3.363
O 0.000 1.824 1.927
O 1.542 4.495 1.927
Tc 0.000 3.605 1.879
Tl 0.000 0.000 0.000
Tl 3.122 1.802 1.595
O 3.122 3.583 4.798
Tc 3.122 1.802 4.846
Tl 0.000 3.605 5.130
O 4.664 0.912 4.798
O 1.579 0.912 4.798
CELL_PARAMETERS angstrom
6.243 0.000 0.000
-3.122 5.407 0.000
0.000 0.000 6.725
```

E: -5.888 eV/atom
Space-group type: P-3m1 (164)

DFT (GGA-PBE) results for a relaxed structure of BaSb2PdAu. Values from VASP.

Quantum ESPRESSO input file:
```
&SYSTEM
  ibrav = 0, nat = 10, ntyp = 4
/
ATOMIC_SPECIES
Pd 106.42 Pd.upf
Ba 137.33 Ba.upf
Sb 121.76 Sb.upf
Au 196.97 Au.upf
ATOMIC_POSITIONS angstrom
Pd -0.371 -5.270 2.032
Ba -2.556 -3.874 -0.679
Sb -1.355 -2.810 2.555
Au -4.150 -2.252 2.307
Au -1.348 -0.702 0.625
Sb -2.090 -7.131 0.968
Ba 1.122 -8.911 1.156
Pd -1.063 -7.515 -1.555
Sb 0.656 -5.654 -0.491
Sb -0.079 -9.975 -2.078
CELL_PARAMETERS angstrom
-1.113 -1.533 4.500
-4.385 -1.421 -1.568
4.063 -9.832 -2.455
```

E: -4.450 eV/atom
Space-group type: P2_1/m (11)

DFT (GGA-PBE) results for a relaxed structure of Zr3Br2. Values from VASP.

Quantum ESPRESSO input file:
```
&SYSTEM
  ibrav = 0, nat = 10, ntyp = 2
/
ATOMIC_SPECIES
Br 79.90 Br.upf
Zr 91.22 Zr.upf
ATOMIC_POSITIONS angstrom
Br 7.004 -2.077 0.265
Zr 2.537 2.734 2.050
Zr 2.734 -0.841 0.942
Br 5.197 2.218 1.631
Zr 6.174 -0.254 2.309
Zr 3.090 3.087 -1.640
Zr 6.727 0.099 -1.381
Br 2.259 4.910 0.403
Zr 6.530 3.674 -0.274
Br 4.066 0.616 -0.962
CELL_PARAMETERS angstrom
6.439 -2.878 -1.031
-1.672 6.197 -3.099
4.497 -0.485 4.799
```

E: -5.813 eV/atom
Space-group type: R-3c (167)

DFT (GGA-PBE) results for a relaxed structure of CoSb3. Values from VASP.

Quantum ESPRESSO input file:
```
&SYSTEM
  ibrav = 0, nat = 4, ntyp = 2
/
ATOMIC_SPECIES
Sb 121.76 Sb.upf
Co 58.93 Co.upf
ATOMIC_POSITIONS angstrom
Sb 0.000 2.250 2.250
Co 0.000 0.000 0.000
Sb 2.250 0.000 2.250
Sb 2.250 2.250 0.000
CELL_PARAMETERS angstrom
4.500 0.000 0.000
0.000 4.500 0.000
0.000 0.000 4.500
```

E: -4.265 eV/atom
Space-group type: Pm-3m (221)

DFT (GGA-PBE) results for a relaxed structure of RbDy. Values from VASP.

Quantum ESPRESSO input file:
```
&SYSTEM
  ibrav = 0, nat = 2, ntyp = 2
/
ATOMIC_SPECIES
Dy 162.50 Dy.upf
Rb 85.47 Rb.upf
ATOMIC_POSITIONS angstrom
Dy 0.000 0.000 0.000
Rb 3.656 3.656 3.656
CELL_PARAMETERS angstrom
0.000 3.656 3.656
3.656 0.000 3.656
3.656 3.656 0.000
```

E: -1.441 eV/atom
Space-group type: Fm-3m (225)

DFT (GGA-PBE) results for a relaxed structure of BeSiTcAs. Values from VASP.

Quantum ESPRESSO input file:
```
&SYSTEM
  ibrav = 0, nat = 4, ntyp = 4
/
ATOMIC_SPECIES
As 74.92 As.upf
Si 28.09 Si.upf
Be 9.01 Be.upf
Tc 98.00 Tc.upf
ATOMIC_POSITIONS angstrom
As 0.693 -0.370 2.479
Si 0.000 0.000 0.000
Be 2.078 -1.110 7.437
Tc 1.385 -0.740 4.958
CELL_PARAMETERS angstrom
1.713 1.824 3.431
-1.400 -1.029 3.874
2.458 -2.275 2.611
```

E: -5.570 eV/atom
Space-group type: F-43m (216)

DFT (GGA-PBE) results for a relaxed structure of InCoAgW. Values from VASP.

Quantum ESPRESSO input file:
```
&SYSTEM
  ibrav = 0, nat = 4, ntyp = 4
/
ATOMIC_SPECIES
W 183.84 W.upf
Co 58.93 Co.upf
Ag 107.87 Ag.upf
In 114.82 In.upf
ATOMIC_POSITIONS angstrom
W -4.064 -3.513 1.162
Co -6.096 -5.269 1.743
Ag -2.032 -1.756 0.581
In 0.000 0.000 0.000
CELL_PARAMETERS angstrom
-3.053 -1.186 3.068
-4.018 -1.514 -1.302
-1.056 -4.325 0.558
```

E: -5.792 eV/atom
Space-group type: F-43m (216)

DFT (GGA-PBE) results for a relaxed structure of Cs2CuSbCl6. Values from VASP.

Quantum ESPRESSO input file:
```
&SYSTEM
  ibrav = 0, nat = 10, ntyp = 4
/
ATOMIC_SPECIES
Cl 35.45 Cl.upf
Cs 132.91 Cs.upf
Sb 121.76 Sb.upf
Cu 63.55 Cu.upf
ATOMIC_POSITIONS angstrom
Cl -1.086 1.199 -5.579
Cs -4.362 -1.041 -0.635
Cl -1.531 0.875 -2.029
Cl -3.887 -0.639 -4.283
Cs -1.578 4.456 -7.267
Sb 0.000 0.000 0.000
Cl -2.053 4.054 -3.618
Cu -2.970 1.708 -3.951
Cl -4.853 2.216 -2.323
Cl -4.409 2.540 -5.872
CELL_PARAMETERS angstrom
-1.087 6.540 -3.276
0.901 0.667 -7.309
-5.754 -3.791 2.684
```

E: -3.318 eV/atom
Space-group type: C2/m (12)

DFT (GGA-PBE) results for a relaxed structure of Dy2ErCo2Ni7. Values from VASP.

Quantum ESPRESSO input file:
```
&SYSTEM
  ibrav = 0, nat = 12, ntyp = 4
/
ATOMIC_SPECIES
Ni 58.69 Ni.upf
Er 167.26 Er.upf
Dy 162.50 Dy.upf
Co 58.93 Co.upf
ATOMIC_POSITIONS angstrom
Ni -1.232 0.711 14.220
Ni -1.232 -0.711 10.076
Er 0.000 0.000 0.000
Ni 0.000 1.423 10.076
Ni 0.000 0.000 12.148
Ni 1.232 0.711 14.220
Ni 0.000 -1.423 14.220
Dy 0.000 0.000 3.364
Ni 1.232 -0.711 10.076
Co 0.000 0.000 8.088
Co 0.000 0.000 16.208
Dy 0.000 0.000 20.932
CELL_PARAMETERS angstrom
2.461 1.421 8.099
-2.461 1.421 8.099
0.000 -2.841 8.099
```

Calculated formation energy: -0.36 eV per atom
Space-group type: R-3m (166)